Entry 1:
# PBE-GGA Na2InBi, optimized geometry
# Total magnetization (μB/f.u.): 0.0
# N(E_F) (states/eV per cell): 0.53
# E_form (meV per atom): -143
data_Na2InBi
_space_group_name_H-M_alt 'P 1'
_space_group_IT_number 1
_space_group_name_Hall 'P 1'
_cell_length_a 3.553
_cell_length_b 3.553
_cell_length_c 10.846
_cell_angle_alpha 80.57
_cell_angle_beta 80.57
_cell_angle_gamma 60.00
loop_
_atom_site_label
_atom_site_type_symbol
_atom_site_fract_x
_atom_site_fract_y
_atom_site_fract_z
Na1 Na 0.082 0.082 0.755
Na2 Na 0.252 0.252 0.245
In1 In 0.500 0.500 0.499
Bi1 Bi 0.666 0.666 0.001

=====

Entry 2:
# PBE-GGA NaIn2Bi5, optimized geometry
# Total magnetization (μB/f.u.): 0.0
# N(E_F) (states/eV per cell): 5.82
# E_form (meV per atom): -6
data_NaIn2Bi5
_space_group_name_H-M_alt 'P 1'
_space_group_IT_number 1
_space_group_name_Hall 'P 1'
_cell_length_a 6.875
_cell_length_b 6.875
_cell_length_c 6.873
_cell_angle_alpha 104.42
_cell_angle_beta 104.42
_cell_angle_gamma 120.16
loop_
_atom_site_label
_atom_site_type_symbol
_atom_site_fract_x
_atom_site_fract_y
_atom_site_fract_z
Na1 Na 0.778 0.778 0.000
In1 In 0.277 0.778 0.500
In2 In 0.778 0.278 0.500
Bi1 Bi 0.278 0.278 0.500
Bi2 Bi 0.278 0.778 0.000
Bi3 Bi 0.778 0.278 0.000
Bi4 Bi 0.778 0.778 0.500
Bi5 Bi 0.278 0.278 0.000

=====

Entry 3:
# PBE-GGA Na5In5Bi, optimized geometry
# Total magnetization (μB/f.u.): 0.0
# N(E_F) (states/eV per cell): 4.57
# E_form (meV per atom): -86
data_Na5In5Bi
_space_group_name_H-M_alt 'P 1'
_space_group_IT_number 1
_space_group_name_Hall 'P 1'
_cell_length_a 5.993
_cell_length_b 5.993
_cell_length_c 10.835
_cell_angle_alpha 90.00
_cell_angle_beta 90.00
_cell_angle_gamma 120.00
loop_
_atom_site_label
_atom_site_type_symbol
_atom_site_fract_x
_atom_site_fract_y
_atom_site_fract_z
Na1 Na 0.667 0.333 0.171
Na2 Na 0.667 0.333 0.829
Na3 Na 0.333 0.667 0.312
Na4 Na 0.333 0.667 0.688
Na5 Na 0.000 0.000 0.000
In1 In 0.343 0.172 0.500
In2 In 0.000 0.000 0.273
In3 In 0.828 0.657 0.500
In4 In 0.828 0.172 0.500
In5 In 0.000 0.000 0.727
Bi1 Bi 0.333 0.667 0.000

=====

Entry 4:
# PBE-GGA Na2InBi3, optimized geometry
# Total magnetization (μB/f.u.): 0.0
# N(E_F) (states/eV per cell): 4.26
# E_form (meV per atom): -96
data_Na2InBi3
_space_group_name_H-M_alt 'P 1'
_space_group_IT_number 1
_space_group_name_Hall 'P 1'
_cell_length_a 6.405
_cell_length_b 8.823
_cell_length_c 8.617
_cell_angle_alpha 120.79
_cell_angle_beta 90.00
_cell_angle_gamma 90.00
loop_
_atom_site_label
_atom_site_type_symbol
_atom_site_fract_x
_atom_site_fract_y
_atom_site_fract_z
Na1 Na 0.750 0.509 0.347
Na2 Na 0.250 0.491 0.653
Na3 Na 0.250 0.837 0.347
Na4 Na 0.750 0.163 0.653
In1 In 0.250 0.190 0.000
In2 In 0.750 0.810 0.000
Bi1 Bi 0.000 0.147 0.294
Bi2 Bi 0.500 0.853 0.706
Bi3 Bi 0.000 0.500 0.000
Bi4 Bi 0.500 0.500 0.000
Bi5 Bi 0.000 0.853 0.706
Bi6 Bi 0.500 0.147 0.294

=====

Entry 5:
# PBE-GGA NaIn4Bi2, optimized geometry
# Total magnetization (μB/f.u.): 0.0
# N(E_F) (states/eV per cell): 5.49
# E_form (meV per atom): -34
data_NaIn4Bi2
_space_group_name_H-M_alt 'P 1'
_space_group_IT_number 1
_space_group_name_Hall 'P 1'
_cell_length_a 12.229
_cell_length_b 5.935
_cell_length_c 6.292
_cell_angle_alpha 109.36
_cell_angle_beta 90.00
_cell_angle_gamma 90.00
loop_
_atom_site_label
_atom_site_type_symbol
_atom_site_fract_x
_atom_site_fract_y
_atom_site_fract_z
Na1 Na 0.000 0.000 0.000
Na2 Na 0.500 0.500 0.000
In1 In 0.785 0.499 0.993
In2 In 0.698 0.503 0.494
In3 In 0.802 0.003 0.494
In4 In 0.715 0.999 0.993
In5 In 0.285 0.001 0.007
In6 In 0.198 0.997 0.506
In7 In 0.302 0.497 0.506
In8 In 0.215 0.501 0.007
Bi1 Bi 0.998 0.606 0.303
Bi2 Bi 0.002 0.394 0.697
Bi3 Bi 0.498 0.894 0.697
Bi4 Bi 0.502 0.106 0.303

=====

Entry 6:
# PBE-GGA NaIn7Bi4, optimized geometry
# Total magnetization (μB/f.u.): 0.0
# N(E_F) (states/eV per cell): 5.88
# E_form (meV per atom): 74
data_NaIn7Bi4
_space_group_name_H-M_alt 'P 1'
_space_group_IT_number 1
_space_group_name_Hall 'P 1'
_cell_length_a 5.917
_cell_length_b 9.678
_cell_length_c 7.813
_cell_angle_alpha 86.64
_cell_angle_beta 67.75
_cell_angle_gamma 72.20
loop_
_atom_site_label
_atom_site_type_symbol
_atom_site_fract_x
_atom_site_fract_y
_atom_site_fract_z
Na1 Na 0.000 0.000 0.000
In1 In 0.794 0.864 0.548
In2 In 0.206 0.136 0.452
In3 In 0.084 0.679 0.154
In4 In 0.916 0.321 0.846
In5 In 0.354 0.582 0.710
In6 In 0.500 0.000 0.000
In7 In 0.646 0.418 0.290
Bi1 Bi 0.578 0.208 0.637
Bi2 Bi 0.422 0.792 0.363
Bi3 Bi 0.729 0.658 0.883
Bi4 Bi 0.271 0.342 0.117

=====

Entry 7:
# PBE-GGA Na2In5Bi2, optimized geometry
# Total magnetization (μB/f.u.): 0.0
# N(E_F) (states/eV per cell): 7.27
# E_form (meV per atom): -77
data_Na2In5Bi2
_space_group_name_H-M_alt 'P 1'
_space_group_IT_number 1
_space_group_name_Hall 'P 1'
_cell_length_a 6.113
_cell_length_b 9.000
_cell_length_c 11.109
_cell_angle_alpha 113.90
_cell_angle_beta 105.97
_cell_angle_gamma 90.00
loop_
_atom_site_label
_atom_site_type_symbol
_atom_site_fract_x
_atom_site_fract_y
_atom_site_fract_z
Na1 Na 0.690 0.195 0.144
Na2 Na 0.546 0.805 0.856
Na3 Na 0.190 0.450 0.144
Na4 Na 0.046 0.550 0.856
In1 In 0.314 0.130 0.803
In2 In 0.511 0.870 0.197
In3 In 0.814 0.173 0.803
In4 In 0.011 0.827 0.197
In5 In 0.265 0.223 0.341
In6 In 0.924 0.777 0.659
In7 In 0.765 0.618 0.341
In8 In 0.424 0.382 0.659
In9 In 0.480 0.965 0.500
In10 In 0.980 0.035 0.500
Bi1 Bi 0.111 0.000 0.000
Bi2 Bi 0.611 0.500 0.000
Bi3 Bi 0.824 0.367 0.500
Bi4 Bi 0.324 0.633 0.500

=====

Entry 8:
# PBE-GGA NaInBi2, optimized geometry
# Total magnetization (μB/f.u.): 0.0
# N(E_F) (states/eV per cell): 2.23
# E_form (meV per atom): -94
data_NaInBi2
_space_group_name_H-M_alt 'P 1'
_space_group_IT_number 1
_space_group_name_Hall 'P 1'
_cell_length_a 4.159
_cell_length_b 4.159
_cell_length_c 6.898
_cell_angle_alpha 90.00
_cell_angle_beta 90.00
_cell_angle_gamma 90.00
loop_
_atom_site_label
_atom_site_type_symbol
_atom_site_fract_x
_atom_site_fract_y
_atom_site_fract_z
Na1 Na 0.500 0.500 0.500
Bi1 Bi 0.000 0.000 0.764
Bi2 Bi 0.000 0.000 0.236
In1 In 0.500 0.500 0.000

=====

Entry 9:
# PBE-GGA NaInBi2, optimized geometry
# Total magnetization (μB/f.u.): 0.0
# N(E_F) (states/eV per cell): 2.24
# E_form (meV per atom): -121
data_NaInBi2
_space_group_name_H-M_alt 'P 1'
_space_group_IT_number 1
_space_group_name_Hall 'P 1'
_cell_length_a 3.410
_cell_length_b 5.291
_cell_length_c 13.862
_cell_angle_alpha 90.00
_cell_angle_beta 97.07
_cell_angle_gamma 90.00
loop_
_atom_site_label
_atom_site_type_symbol
_atom_site_fract_x
_atom_site_fract_y
_atom_site_fract_z
Na1 Na 0.597 0.250 0.195
Na2 Na 0.403 0.750 0.805
In1 In 0.227 0.250 0.454
In2 In 0.773 0.750 0.546
Bi1 Bi 0.964 0.250 0.927
Bi2 Bi 0.036 0.750 0.073
Bi3 Bi 0.848 0.250 0.695
Bi4 Bi 0.152 0.750 0.305

=====

Entry 10:
# PBE-GGA NaInBi, optimized geometry
# Total magnetization (μB/f.u.): 0.0
# N(E_F) (states/eV per cell): 1.61
# E_form (meV per atom): -125
data_NaInBi
_space_group_name_H-M_alt 'P 1'
_space_group_IT_number 1
_space_group_name_Hall 'P 1'
_cell_length_a 5.272
_cell_length_b 5.272
_cell_length_c 5.272
_cell_angle_alpha 60.00
_cell_angle_beta 60.00
_cell_angle_gamma 60.00
loop_
_atom_site_label
_atom_site_type_symbol
_atom_site_fract_x
_atom_site_fract_y
_atom_site_fract_z
Na1 Na 0.500 0.500 0.500
Bi1 Bi 0.250 0.250 0.250
In1 In 0.000 0.000 0.000